Entry 1:
Computed, not measured: CdTcP2 after structural relaxation at the GGA-PBEsol level of DFT.

Cell and atoms, written as POSCAR:
```
CdTcP2
1.0
3.1555 0.0000 0.0000
0.0000 4.3710 0.0081
0.0000 -0.6426 4.3235
Tc P Cd
1 2 1
Direct
0.5000 0.0000 0.0000
0.0000 0.0000 0.5000
0.0000 0.5000 0.0000
0.5000 0.5000 0.5000
```

density	7582	kg/m³
energy of formation	385	meV/atom

=====

Entry 2:
Computed, not measured: Ho5Co2Bi after structural relaxation at the GGA-PBEsol level of DFT.

Cell and atoms, written as POSCAR:
```
Ho5Co2Bi
1.0
7.4355 0.0000 0.0000
0.0000 7.4355 0.0000
-3.7177 -3.7177 6.7526
Co Ho Bi
4 10 2
Direct
0.3635 0.1365 0.0000
0.8635 0.3635 0.0000
0.6365 0.8635 0.0000
0.1365 0.6365 0.0000
0.5000 0.5000 0.0000
0.7134 0.5287 0.7421
0.2134 0.7134 0.7421
0.5287 0.0287 0.7421
0.0287 0.2134 0.7421
0.0000 0.0000 0.0000
0.7866 0.2866 0.2579
0.4713 0.9713 0.2579
0.9713 0.7866 0.2579
0.2866 0.4713 0.2579
0.2500 0.2500 0.5000
0.7500 0.7500 0.5000
```

density	10244	kg/m³
energy of formation	-373	meV/atom

=====

Entry 3:
Computed, not measured: SrTiP2F after structural relaxation at the GGA-PBEsol level of DFT.

Cell and atoms, written as POSCAR:
```
SrTiP2F
1.0
5.1653 0.0000 0.0000
0.0000 5.1653 0.0000
0.0000 0.0000 5.9625
Ti Sr F P
1 1 1 2
Direct
0.0000 0.0000 0.5000
0.0000 0.0000 0.0000
0.5000 0.5000 0.5000
0.0000 0.5000 0.0000
0.5000 0.0000 0.0000
```

density	2259	kg/m³
formation energy without anion corrections	131.64	kJ per mole of atoms

=====

Entry 4:
Computed, not measured: ZnSb2Ru2 after structural relaxation at the GGA-PBEsol level of DFT.

Cell and atoms, written as POSCAR:
```
ZnSb2Ru2
1.0
4.4240 0.0000 0.0000
0.0000 4.4240 0.0000
-2.2120 -2.2120 5.2267
Zn Ru Sb
1 2 2
Direct
0.0000 0.0000 0.0000
0.2500 0.7500 0.5000
0.7500 0.2500 0.5000
0.3687 0.3687 0.7374
0.6313 0.6313 0.2626
```

density	8296	kg/m³
formation energy without anion corrections	34.91	kJ per mole of atoms

=====

Entry 5:
Computed, not measured: Sc2As after structural relaxation at the GGA-PBEsol level of DFT.

Cell and atoms, written as POSCAR:
```
Sc2As
1.0
-1.5363 -1.8698 2.9088
-2.7937 -1.7667 -2.6111
5.2554 -4.5003 -2.5782
Sc As
4 2
Direct
0.2529 0.7500 0.5058
0.9258 0.7500 0.8517
0.7471 0.2500 0.4942
0.0742 0.2500 0.1483
0.3960 0.2500 0.7921
0.6040 0.7500 0.2079
```

density	4812	kg/m³
energy of formation	-842	meV/atom

=====

Entry 6:
Computed, not measured: Mg2ReW after structural relaxation at the GGA-PBEsol level of DFT.

Cell and atoms, written as POSCAR:
```
Mg2ReW
1.0
-1.0771 0.2270 -2.4506
-3.6750 -0.5015 3.0414
0.0536 5.2852 0.4659
Re Mg W
1 2 1
Direct
0.5021 0.0042 0.4783
0.2460 0.4919 0.7554
0.0022 0.0044 0.9923
0.7497 0.4994 0.2740
```

density	10610	kg/m³
energy of formation	397	meV/atom
energy above the most stable polymorph in this dataset	0	meV per atom

=====

| no. | DOS at the Fermi energy (states/eV per atom) |
| --- | --- |
| 1 | 0.761 |
| 2 | 1.091 |
| 3 | 1.402 |
| 4 | 0.599 |
| 5 | 1.097 |
| 6 | 0.459 |